An optimized crystal structure of RePt. Source: Alexandria, functional GGA-PBE.

a = 10.153 Å, b = 2.791 Å, c = 6.636 Å
α = 90.00°, β = 104.81°, γ = 90.00°
Positions (direct):
Re 0.000 0.000 0.000
Re 0.053 0.000 0.602
Re 0.397 0.000 0.276
Re 0.500 0.500 0.000
Re 0.553 0.500 0.602
Re 0.897 0.500 0.276
Pt 0.169 0.500 0.328
Pt 0.219 0.500 0.939
Pt 0.342 0.000 0.671
Pt 0.669 0.000 0.328
Pt 0.719 0.000 0.939
Pt 0.842 0.500 0.671

The space group is Cm. The formation energy is -0.0615 eV per atom. The energy above the most stable polymorph in this dataset comes out at 64.1 meV per atom.

An optimized crystal structure of RePt. Source: Alexandria, functional GGA-PBE.

a = 4.013 Å, b = 4.013 Å, c = 6.441 Å
α = 90.00°, β = 90.00°, γ = 120.00°
Positions (direct):
Re 0.333 0.667 0.000
Re 0.667 0.333 0.500
Pt 0.333 0.667 0.380
Pt 0.667 0.333 0.880

The space group is P6_3mc. The formation energy is 1.2044 eV per atom. The energy above the most stable polymorph in this dataset comes out at 1330.0 meV per atom.

An optimized crystal structure of RePt3Rh6. Source: Alexandria, functional GGA-PBE.

a = 5.132 Å, b = 5.132 Å, c = 6.872 Å
α = 90.00°, β = 90.00°, γ = 120.00°
Positions (direct):
Re 0.000 0.000 0.000
Pt 0.000 0.000 0.500
Pt 0.333 0.667 0.500
Pt 0.667 0.333 0.500
Rh 0.000 0.407 0.816
Rh 0.000 0.593 0.184
Rh 0.407 0.000 0.816
Rh 0.407 0.407 0.184
Rh 0.593 0.000 0.184
Rh 0.593 0.593 0.816

The space group is P-31m. The formation energy is 0.2589 eV per atom. The energy above the most stable polymorph in this dataset comes out at 285.4 meV per atom.

An optimized crystal structure of RePtRh. Source: Alexandria, functional GGA-PBE.

a = 4.400 Å, b = 4.400 Å, c = 2.675 Å
α = 90.00°, β = 90.00°, γ = 120.00°
Positions (direct):
Re 0.000 0.000 0.000
Pt 0.333 0.667 0.500
Rh 0.667 0.333 0.500

The space group is P-6m2. The formation energy is 0.0751 eV per atom. The energy above the most stable polymorph in this dataset comes out at 239.0 meV per atom.